Entry from the Alexandria database: crystalline Rb2TaPbS4 at its relaxed geometry (GGA-PBE).

Results
formation energy from raw total energies = -0.937 eV per atom
VASP energy = -0.191 Ha/atom

abc: 8.118 8.118 8.315
angles: 90.00 90.00 90.00
Space group I-4 (No. 82)
One atom of each set of equivalent atoms:
Rb  0.000  0.000  0.000 (multiplicity 2)
Rb  0.000  0.500  0.250 (multiplicity 2)
Ta  0.000  0.500  0.750 (multiplicity 2)
Pb  0.000  0.000  0.500 (multiplicity 2)
S  0.148  0.682  0.595 (multiplicity 8)

***

Entry from the Alexandria database: crystalline RbTaPbS4 at its relaxed geometry (GGA-PBE).

Results
formation energy from raw total energies = -0.969 eV per atom
VASP energy = -0.209 Ha/atom

abc: 7.077 7.169 9.062
angles: 90.00 106.88 90.00
Space group P2_1/m (No. 11)
One atom of each set of equivalent atoms:
Rb  0.231  0.250  0.437 (multiplicity 2)
Ta  0.275  0.750  0.175 (multiplicity 2)
Pb  0.264  0.250  0.950 (multiplicity 2)
S  0.076  0.750  0.928 (multiplicity 2)
S  0.082  0.750  0.338 (multiplicity 2)
S  0.485  0.001  0.215 (multiplicity 4)

***

Entry from the Alexandria database: crystalline Rb3Tb2PbS6 at its relaxed geometry (GGA-PBE).

Results
formation energy from raw total energies = -1.435 eV per atom
VASP energy = -0.177 Ha/atom

abc: 7.174 12.425 8.059
angles: 90.00 107.23 90.00
Space group C2/m (No. 12)
One atom of each set of equivalent atoms:
Rb  0.000  0.000  0.000 (multiplicity 2)
Rb  0.000  0.336  0.000 (multiplicity 4)
Tb  0.000  0.167  0.500 (multiplicity 4)
Pb  0.000  0.500  0.500 (multiplicity 2)
S  0.220  0.000  0.695 (multiplicity 4)
S  0.238  0.328  0.696 (multiplicity 8)

***

Entry from the Alexandria database: crystalline Rb2TePbS4 at its relaxed geometry (GGA-PBE).

Results
formation energy from raw total energies = -0.557 eV per atom
VASP energy = -0.137 Ha/atom

abc: 8.459 8.952 12.357
angles: 90.00 90.00 90.00
Space group Imma (No. 74)
One atom of each set of equivalent atoms:
Rb  0.000  0.000  0.000 (multiplicity 4)
Rb  0.250  0.250  0.250 (multiplicity 4)
Te  0.250  0.250  0.750 (multiplicity 4)
Pb  0.000  0.000  0.500 (multiplicity 4)
S  0.000  0.047  0.745 (multiplicity 8)
S  0.232  0.250  0.532 (multiplicity 8)

***

Entry from the Alexandria database: crystalline Rb2Te2Pb2S at its relaxed geometry (GGA-PBE).

Results
formation energy from raw total energies = -0.683 eV per atom
VASP energy = -0.129 Ha/atom

abc: 16.416 4.964 8.651
angles: 90.00 121.77 90.00
Space group C2/m (No. 12)
One atom of each set of equivalent atoms:
Rb  0.043  0.000  0.303 (multiplicity 4)
Te  0.165  0.500  0.709 (multiplicity 4)
Pb  0.190  0.500  0.093 (multiplicity 4)
S  0.000  0.500  0.000 (multiplicity 2)

***

Entry from the Alexandria database: crystalline Rb2TiPbS4 at its relaxed geometry (GGA-PBE).

Results
formation energy from raw total energies = -1.078 eV per atom
VASP energy = -0.178 Ha/atom

abc: 9.416 8.838 6.845
angles: 90.00 90.00 90.00
Space group Pmn2_1 (No. 31)
One atom of each set of equivalent atoms:
Rb  0.246  0.170  0.000 (multiplicity 4)
Ti  0.000  0.656  0.043 (multiplicity 2)
Pb  0.000  0.340  0.516 (multiplicity 2)
S  0.000  0.420  0.899 (multiplicity 2)
S  0.000  0.618  0.373 (multiplicity 2)
S  0.200  0.793  0.982 (multiplicity 4)

***

Entry from the Alexandria database: crystalline RbTlPbS3 at its relaxed geometry (GGA-PBE).

Results
formation energy from raw total energies = -0.527 eV per atom
VASP energy = -0.138 Ha/atom

abc: 9.572 4.249 10.702
angles: 90.00 97.45 90.00
Space group P2_1/m (No. 11)
One atom of each set of equivalent atoms:
Rb  0.154  0.250  0.167 (multiplicity 2)
Tl  0.108  0.250  0.617 (multiplicity 2)
Pb  0.393  0.750  0.864 (multiplicity 2)
S  0.137  0.250  0.846 (multiplicity 2)
S  0.168  0.750  0.485 (multiplicity 2)
S  0.401  0.750  0.114 (multiplicity 2)

***

Entry from the Alexandria database: crystalline Rb3Tm2PbS6 at its relaxed geometry (GGA-PBE).

Results
formation energy from raw total energies = -1.433 eV per atom
VASP energy = -0.176 Ha/atom

abc: 7.087 12.277 8.036
angles: 90.00 107.07 90.00
Space group C2/m (No. 12)
One atom of each set of equivalent atoms:
Rb  0.000  0.000  0.000 (multiplicity 2)
Rb  0.000  0.337  0.000 (multiplicity 4)
Tm  0.000  0.167  0.500 (multiplicity 4)
Pb  0.000  0.500  0.500 (multiplicity 2)
S  0.216  0.000  0.692 (multiplicity 4)
S  0.239  0.326  0.694 (multiplicity 8)

***

Entry from the Alexandria database: crystalline Rb2UPb2S6 at its relaxed geometry (GGA-PBE).

Results
formation energy from raw total energies = -1.044 eV per atom
VASP energy = -0.190 Ha/atom

abc: 7.368 12.383 8.122
angles: 90.00 108.45 90.00
Space group C2/m (No. 12)
One atom of each set of equivalent atoms:
Rb  0.000  0.178  0.000 (multiplicity 4)
U  0.000  0.000  0.500 (multiplicity 2)
Pb  0.000  0.332  0.500 (multiplicity 4)
S  0.214  0.149  0.691 (multiplicity 8)
S  0.218  0.000  0.309 (multiplicity 4)

***

Entry from the Alexandria database: crystalline Rb2UPbS5 at its relaxed geometry (GGA-PBE).

Results
formation energy from raw total energies = -1.004 eV per atom
VASP energy = -0.190 Ha/atom

abc: 4.198 18.098 15.528
angles: 90.00 90.00 90.00
Space group Cmc2_1 (No. 36)
One atom of each set of equivalent atoms:
Rb  0.000  0.079  0.000 (multiplicity 4)
Rb  0.000  0.143  0.638 (multiplicity 4)
U  0.000  0.223  0.369 (multiplicity 4)
Pb  0.000  0.464  0.780 (multiplicity 4)
S  0.000  0.091  0.406 (multiplicity 4)
S  0.000  0.261  0.971 (multiplicity 4)
S  0.000  0.303  0.765 (multiplicity 4)
S  0.000  0.354  0.331 (multiplicity 4)
S  0.000  0.497  0.125 (multiplicity 4)

***

Entry from the Alexandria database: crystalline Rb4U3PbS12 at its relaxed geometry (GGA-PBE).

Results
formation energy from raw total energies = -1.172 eV per atom
VASP energy = -0.210 Ha/atom

abc: 10.530 10.530 10.530
angles: 90.00 90.00 90.00
Space group Im-3m (No. 229)
One atom of each set of equivalent atoms:
Rb  0.250  0.250  0.250 (multiplicity 8)
U  0.000  0.000  0.500 (multiplicity 6)
Pb  0.000  0.000  0.000 (multiplicity 2)
S  0.000  0.000  0.269 (multiplicity 12)
S  0.000  0.250  0.500 (multiplicity 12)

***

Entry from the Alexandria database: crystalline RbU2Pb2S7 at its relaxed geometry (GGA-PBE).

Results
formation energy from raw total energies = -1.005 eV per atom
VASP energy = -0.220 Ha/atom

abc: 5.295 5.603 23.983
angles: 90.00 90.00 90.00
Space group Immm (No. 71)
One atom of each set of equivalent atoms:
Rb  0.000  0.000  0.000 (multiplicity 2)
U  0.000  0.000  0.392 (multiplicity 4)
Pb  0.000  0.500  0.272 (multiplicity 4)
S  0.000  0.000  0.280 (multiplicity 4)
S  0.000  0.000  0.500 (multiplicity 2)
S  0.000  0.500  0.110 (multiplicity 4)
S  0.000  0.500  0.389 (multiplicity 4)